## K2YAs (GGA-PBE)

Data for crystalline K2YAs at its relaxed geometry.

```
data_K2YAs
_chemical_formula_sum 'K4 Y2 As2'
_symmetry_space_group_name_H-M 'C m m m'
_symmetry_Int_Tables_number 65
_symmetry_space_group_name_Hall '-C 2 2'
_cell_length_a 6.000
_cell_length_b 6.800
_cell_length_c 6.505
_cell_angle_alpha 90.00
_cell_angle_beta 90.00
_cell_angle_gamma 90.00
loop_
_atom_site_label
_atom_site_type_symbol
_atom_site_fract_x
_atom_site_fract_y
_atom_site_fract_z
K1 K 0.000 0.215 0.000
Y1 Y 0.000 0.500 0.500
As1 As 0.000 0.000 0.500
```

Summary:
calculated density: 3.03 g/cm3
raw total energy: -27.1 eV for the cell shown
total magnetic moment: 0.00 Bohr magnetons per cell
formation enthalpy at 0 K: -0.062 eV/atom


## KYAs4 (GGA-PBE)

Data for crystalline KYAs4 at its relaxed geometry.

```
data_KYAs4
_chemical_formula_sum 'K4 Y4 As16'
_symmetry_space_group_name_H-M 'F -4 3 m'
_symmetry_Int_Tables_number 216
_symmetry_space_group_name_Hall 'F -4 2 3'
_cell_length_a 8.199
_cell_length_b 8.199
_cell_length_c 8.199
_cell_angle_alpha 90.00
_cell_angle_beta 90.00
_cell_angle_gamma 90.00
loop_
_atom_site_label
_atom_site_type_symbol
_atom_site_fract_x
_atom_site_fract_y
_atom_site_fract_z
K1 K 0.000 0.000 0.000
Y1 Y 0.250 0.250 0.750
As1 As 0.124 0.124 0.376
```

Summary:
calculated density: 5.15 g/cm3
raw total energy: -109.7 eV for the cell shown
total magnetic moment: 0.00 Bohr magnetons per cell
formation enthalpy at 0 K: -0.211 eV/atom


## K2YAs (GGA-PBE)

Data for crystalline K2YAs at its relaxed geometry.

```
data_K2YAs
_chemical_formula_sum 'K2 Y1 As1'
_symmetry_space_group_name_H-M 'P 4/m m m'
_symmetry_Int_Tables_number 123
_symmetry_space_group_name_Hall '-P 4 2'
_cell_length_a 3.389
_cell_length_b 3.389
_cell_length_c 12.220
_cell_angle_alpha 90.00
_cell_angle_beta 90.00
_cell_angle_gamma 90.00
loop_
_atom_site_label
_atom_site_type_symbol
_atom_site_fract_x
_atom_site_fract_y
_atom_site_fract_z
K1 K 0.000 0.000 0.191
Y1 Y 0.500 0.500 0.500
As1 As 0.500 0.500 0.000
```

Summary:
calculated density: 2.86 g/cm3
raw total energy: -12.4 eV for the cell shown
total magnetic moment: 0.00 Bohr magnetons per cell
formation enthalpy at 0 K: 0.216 eV/atom


## K2YAs (GGA-PBE)

Data for crystalline K2YAs at its relaxed geometry.

```
data_K2YAs
_chemical_formula_sum 'K6 Y3 As3'
_symmetry_space_group_name_H-M 'R -3 m'
_symmetry_Int_Tables_number 166
_symmetry_space_group_name_Hall '-R 3 2"'
_cell_length_a 3.5798
_cell_length_b 3.5798
_cell_length_c 37.9089
_cell_angle_alpha 90.00
_cell_angle_beta 90.00
_cell_angle_gamma 120.00
loop_
_atom_site_label
_atom_site_type_symbol
_atom_site_fract_x
_atom_site_fract_y
_atom_site_fract_z
K1 K 0.0000 0.0000 0.2342
Y1 Y 0.0000 0.0000 0.0000
As1 As 0.0000 0.0000 0.5000
```

Summary:
calculated density: 2.87 g/cm3
raw total energy: -36.4 eV for the cell shown
total magnetic moment: 0.08 Bohr magnetons per cell
formation enthalpy at 0 K: 0.290 eV/atom


Respective calculated volume values: 265.4; 551.3; 140.3; 420.7 Å³ per cell.